Entry 1:
The following is a GGA-PBE calculation of a relaxed AlSb2IBr crystal, from Alexandria.

Calculated values
**ΔE_f (raw)**: 0.31 eV/atom
**Total magnetization**: 0.498 Bohr magnetons per cell
**Polymorph energy (0 for the lowest one)**: 0 meV/atom

Cell and atoms, written as CIF:
```
data_AlSb2IBr
_chemical_formula_sum 'Al1 Sb2 I1 Br1'
_cell_length_a 5.413
_cell_length_b 5.413
_cell_length_c 5.439
_cell_angle_alpha 90.00
_cell_angle_beta 90.00
_cell_angle_gamma 90.00
_space_group_name_H-M_alt 'P 4/m m m'
_space_group_IT_number 123
_space_group_name_Hall '-P 4 2'
loop_
_atom_site_label
_atom_site_fract_x
_atom_site_fract_y
_atom_site_fract_z
Al1 0.000 0.000 0.000
Sb1 0.000 0.500 0.000
I1 0.000 0.000 0.500
Br1 0.500 0.500 0.500
```

***

Entry 2:
The following is a GGA-PBE calculation of a relaxed AlSb2IBr crystal, from Alexandria.

Calculated values
**ΔE_f (raw)**: 0.92 eV/atom
**Total magnetization**: 0.003 Bohr magnetons per cell
**Polymorph energy (0 for the lowest one)**: 607 meV/atom

Cell and atoms, written as CIF:
```
data_AlSb2IBr
_chemical_formula_sum 'Al1 Sb2 I1 Br1'
_cell_length_a 5.647
_cell_length_b 5.647
_cell_length_c 5.753
_cell_angle_alpha 90.00
_cell_angle_beta 90.00
_cell_angle_gamma 90.00
_space_group_name_H-M_alt 'P 4/m m m'
_space_group_IT_number 123
_space_group_name_Hall '-P 4 2'
loop_
_atom_site_label
_atom_site_fract_x
_atom_site_fract_y
_atom_site_fract_z
Al1 0.000 0.000 0.000
Sb1 0.000 0.500 0.500
I1 0.500 0.500 0.000
Br1 0.500 0.500 0.500
```

***

Entry 3:
The following is a GGA-PBE calculation of a relaxed AlSeIBr2 crystal, from Alexandria.

Calculated values
**ΔE_f (raw)**: -0.19 eV/atom
**Total magnetization**: 0.000 Bohr magnetons per cell
**Polymorph energy (0 for the lowest one)**: 0 meV/atom

Cell and atoms, written as CIF:
```
data_AlSeIBr2
_chemical_formula_sum 'Al1 Se1 I1 Br2'
_cell_length_a 4.871
_cell_length_b 4.871
_cell_length_c 5.754
_cell_angle_alpha 90.00
_cell_angle_beta 90.00
_cell_angle_gamma 90.00
_space_group_name_H-M_alt 'P 4/m m m'
_space_group_IT_number 123
_space_group_name_Hall '-P 4 2'
loop_
_atom_site_label
_atom_site_fract_x
_atom_site_fract_y
_atom_site_fract_z
Al1 0.000 0.000 0.000
Se1 0.000 0.000 0.500
I1 0.500 0.500 0.500
Br1 0.000 0.500 0.000
```

***

Entry 4:
The following is a GGA-PBE calculation of a relaxed AlSeIBr2 crystal, from Alexandria.

Calculated values
**ΔE_f (raw)**: 0.37 eV/atom
**Total magnetization**: 0.000 Bohr magnetons per cell
**Polymorph energy (0 for the lowest one)**: 560 meV/atom

Cell and atoms, written as CIF:
```
data_AlSeIBr2
_chemical_formula_sum 'Al1 Se1 I1 Br2'
_cell_length_a 5.825
_cell_length_b 5.825
_cell_length_c 5.463
_cell_angle_alpha 90.00
_cell_angle_beta 90.00
_cell_angle_gamma 90.00
_space_group_name_H-M_alt 'P 4/m m m'
_space_group_IT_number 123
_space_group_name_Hall '-P 4 2'
loop_
_atom_site_label
_atom_site_fract_x
_atom_site_fract_y
_atom_site_fract_z
Al1 0.000 0.000 0.000
Se1 0.500 0.500 0.000
I1 0.500 0.500 0.500
Br1 0.000 0.500 0.500
```

***

Entry 5:
The following is a GGA-PBE calculation of a relaxed AlSe2IBr crystal, from Alexandria.

Calculated values
**ΔE_f (raw)**: 0.56 eV/atom
**Total magnetization**: 0.000 Bohr magnetons per cell
**Polymorph energy (0 for the lowest one)**: 550 meV/atom

Cell and atoms, written as CIF:
```
data_AlSe2IBr
_chemical_formula_sum 'Al1 Se2 I1 Br1'
_cell_length_a 5.434
_cell_length_b 5.434
_cell_length_c 5.813
_cell_angle_alpha 90.00
_cell_angle_beta 90.00
_cell_angle_gamma 90.00
_space_group_name_H-M_alt 'P 4/m m m'
_space_group_IT_number 123
_space_group_name_Hall '-P 4 2'
loop_
_atom_site_label
_atom_site_fract_x
_atom_site_fract_y
_atom_site_fract_z
Al1 0.000 0.000 0.000
Se1 0.000 0.500 0.500
I1 0.500 0.500 0.500
Br1 0.500 0.500 0.000
```

***

Entry 6:
The following is a GGA-PBE calculation of a relaxed AlSe2IBr crystal, from Alexandria.

Calculated values
**ΔE_f (raw)**: 0.01 eV/atom
**Total magnetization**: 0.000 Bohr magnetons per cell
**Polymorph energy (0 for the lowest one)**: 0 meV/atom

Cell and atoms, written as CIF:
```
data_AlSe2IBr
_chemical_formula_sum 'Al1 Se2 I1 Br1'
_cell_length_a 5.100
_cell_length_b 5.100
_cell_length_c 4.929
_cell_angle_alpha 90.00
_cell_angle_beta 90.00
_cell_angle_gamma 90.00
_space_group_name_H-M_alt 'P 4/m m m'
_space_group_IT_number 123
_space_group_name_Hall '-P 4 2'
loop_
_atom_site_label
_atom_site_fract_x
_atom_site_fract_y
_atom_site_fract_z
Al1 0.000 0.000 0.000
Se1 0.000 0.500 0.000
I1 0.500 0.500 0.500
Br1 0.000 0.000 0.500
```

***

Entry 7:
The following is a GGA-PBE calculation of a relaxed AlTe2IBr crystal, from Alexandria.

Calculated values
**ΔE_f (raw)**: 0.68 eV/atom
**Total magnetization**: 1.588 Bohr magnetons per cell
**Polymorph energy (0 for the lowest one)**: 494 meV/atom

Cell and atoms, written as CIF:
```
data_AlTe2IBr
_chemical_formula_sum 'Al1 Te2 I1 Br1'
_cell_length_a 5.472
_cell_length_b 5.472
_cell_length_c 7.812
_cell_angle_alpha 90.00
_cell_angle_beta 90.00
_cell_angle_gamma 90.00
_space_group_name_H-M_alt 'P 4/m m m'
_space_group_IT_number 123
_space_group_name_Hall '-P 4 2'
loop_
_atom_site_label
_atom_site_fract_x
_atom_site_fract_y
_atom_site_fract_z
Al1 0.000 0.000 0.000
Te1 0.000 0.500 0.500
I1 0.500 0.500 0.000
Br1 0.500 0.500 0.500
```

***

Entry 8:
The following is a GGA-PBE calculation of a relaxed AlTe2IBr crystal, from Alexandria.

Calculated values
**ΔE_f (raw)**: 0.19 eV/atom
**Total magnetization**: 0.000 Bohr magnetons per cell
**Polymorph energy (0 for the lowest one)**: 0 meV/atom

Cell and atoms, written as CIF:
```
data_AlTe2IBr
_chemical_formula_sum 'Al1 Te2 I1 Br1'
_cell_length_a 5.420
_cell_length_b 5.420
_cell_length_c 5.425
_cell_angle_alpha 90.00
_cell_angle_beta 90.00
_cell_angle_gamma 90.00
_space_group_name_H-M_alt 'P 4/m m m'
_space_group_IT_number 123
_space_group_name_Hall '-P 4 2'
loop_
_atom_site_label
_atom_site_fract_x
_atom_site_fract_y
_atom_site_fract_z
Al1 0.000 0.000 0.000
Te1 0.000 0.500 0.000
I1 0.000 0.000 0.500
Br1 0.500 0.500 0.500
```

***

Entry 9:
The following is a GGA-PBE calculation of a relaxed AlTeI2Br crystal, from Alexandria.

Calculated values
**ΔE_f (raw)**: 0.53 eV/atom
**Total magnetization**: 0.000 Bohr magnetons per cell
**Polymorph energy (0 for the lowest one)**: 448 meV/atom

Cell and atoms, written as CIF:
```
data_AlTeI2Br
_chemical_formula_sum 'Al1 Te1 I2 Br1'
_cell_length_a 5.903
_cell_length_b 5.903
_cell_length_c 5.705
_cell_angle_alpha 90.00
_cell_angle_beta 90.00
_cell_angle_gamma 90.00
_space_group_name_H-M_alt 'P 4/m m m'
_space_group_IT_number 123
_space_group_name_Hall '-P 4 2'
loop_
_atom_site_label
_atom_site_fract_x
_atom_site_fract_y
_atom_site_fract_z
Al1 0.000 0.000 0.000
Te1 0.500 0.500 0.000
I1 0.000 0.500 0.500
Br1 0.500 0.500 0.500
```

***

Entry 10:
The following is a GGA-PBE calculation of a relaxed AlTeI2Br crystal, from Alexandria.

Calculated values
**ΔE_f (raw)**: 0.08 eV/atom
**Total magnetization**: 0.000 Bohr magnetons per cell
**Polymorph energy (0 for the lowest one)**: 0 meV/atom

Cell and atoms, written as CIF:
```
data_AlTeI2Br
_chemical_formula_sum 'Al1 Te1 I2 Br1'
_cell_length_a 5.419
_cell_length_b 5.419
_cell_length_c 5.666
_cell_angle_alpha 90.00
_cell_angle_beta 90.00
_cell_angle_gamma 90.00
_space_group_name_H-M_alt 'P 4/m m m'
_space_group_IT_number 123
_space_group_name_Hall '-P 4 2'
loop_
_atom_site_label
_atom_site_fract_x
_atom_site_fract_y
_atom_site_fract_z
Al1 0.000 0.000 0.000
Te1 0.000 0.000 0.500
I1 0.000 0.500 0.000
Br1 0.500 0.500 0.500
```

***

Entry 11:
The following is a GGA-PBE calculation of a relaxed AlTlI2Br crystal, from Alexandria.

Calculated values
**ΔE_f (raw)**: -0.54 eV/atom
**Total magnetization**: 0.000 Bohr magnetons per cell

Cell and atoms, written as CIF:
```
data_AlTlI2Br
_chemical_formula_sum 'Al1 Tl1 I2 Br1'
_cell_length_a 5.836
_cell_length_b 5.836
_cell_length_c 5.256
_cell_angle_alpha 90.00
_cell_angle_beta 90.00
_cell_angle_gamma 90.00
_space_group_name_H-M_alt 'P 4/m m m'
_space_group_IT_number 123
_space_group_name_Hall '-P 4 2'
loop_
_atom_site_label
_atom_site_fract_x
_atom_site_fract_y
_atom_site_fract_z
Al1 0.000 0.000 0.000
Tl1 0.500 0.500 0.500
I1 0.000 0.500 0.000
Br1 0.000 0.000 0.500
```

***

Entry 12:
The following is a GGA-PBE calculation of a relaxed AlZnIBr2 crystal, from Alexandria.

Calculated values
**ΔE_f (raw)**: -0.31 eV/atom
**Total magnetization**: 0.000 Bohr magnetons per cell

Cell and atoms, written as CIF:
```
data_AlZnIBr2
_chemical_formula_sum 'Al1 Zn1 I1 Br2'
_cell_length_a 5.115
_cell_length_b 5.115
_cell_length_c 5.676
_cell_angle_alpha 90.00
_cell_angle_beta 90.00
_cell_angle_gamma 90.00
_space_group_name_H-M_alt 'P 4/m m m'
_space_group_IT_number 123
_space_group_name_Hall '-P 4 2'
loop_
_atom_site_label
_atom_site_fract_x
_atom_site_fract_y
_atom_site_fract_z
Al1 0.000 0.000 0.000
Zn1 0.500 0.500 0.500
I1 0.000 0.000 0.500
Br1 0.000 0.500 0.000
```